# 1
# ZnNi2MoH

A relaxed structure of ZnNi2MoH (PBE-GGA, Alexandria).

Values from the calculation:
- magnetic moment (μB per formula unit) = 2.0
- space group = P4/mmm, No. 123
- energy (eV/atom) = -5.3131

Cell lengths 3.752, 3.752, 3.872 Å; angles 90.00, 90.00, 90.00 degrees
Fractional coordinates of all 5 atoms:
Zn: 0.000 0.000 0.000
Ni: 0.000 0.500 0.500
Ni: 0.500 0.000 0.500
Mo: 0.500 0.500 0.000
H: 0.500 0.500 0.500

=====

# 2
# SnOs

A relaxed structure of SnOs (PBE-GGA, Alexandria).

Values from the calculation:
- magnetic moment (μB per formula unit) = 0.0
- space group = Amm2, No. 38
- energy (eV/atom) = -7.1241
- ΔH_f (0 K) (meV per atom) = 492

Cell lengths 4.339, 8.428, 6.279 Å; angles 90.00, 90.00, 90.00 degrees
Fractional coordinates of all 12 atoms:
Sn: 0.000 0.000 0.000
Sn: 0.000 0.500 0.500
Sn: 0.500 0.184 0.658
Sn: 0.500 0.316 0.158
Sn: 0.500 0.684 0.158
Sn: 0.500 0.816 0.658
Os: 0.000 0.197 0.365
Os: 0.000 0.303 0.865
Os: 0.000 0.697 0.865
Os: 0.000 0.803 0.365
Os: 0.500 0.000 0.304
Os: 0.500 0.500 0.804

=====

# 3
# La2HoAl12Fe3

A relaxed structure of La2HoAl12Fe3 (PBE-GGA, Alexandria).

Values from the calculation:
- magnetic moment (μB per formula unit) = 0.0
- space group = R-3m, No. 166
- energy (eV/atom) = -4.6008
- ΔH_f (0 K) (meV per atom) = 107

Cell lengths 8.021, 8.021, 8.021 Å; angles 64.42, 64.42, 64.42 degrees
Fractional coordinates of all 18 atoms:
La: 0.082 0.082 0.082
La: 0.918 0.918 0.918
Ho: 0.500 0.500 0.500
Al: 0.027 0.661 0.661
Al: 0.230 0.230 0.577
Al: 0.230 0.577 0.230
Al: 0.339 0.339 0.973
Al: 0.339 0.973 0.339
Al: 0.423 0.770 0.770
Al: 0.577 0.230 0.230
Al: 0.661 0.027 0.661
Al: 0.661 0.661 0.027
Al: 0.770 0.423 0.770
Al: 0.770 0.770 0.423
Al: 0.973 0.339 0.339
Fe: 0.000 0.500 0.500
Fe: 0.500 0.000 0.500
Fe: 0.500 0.500 0.000

=====

# 4
# DyY6Sc2

A relaxed structure of DyY6Sc2 (PBE-GGA, Alexandria).

Values from the calculation:
- magnetic moment (μB per formula unit) = 0.0
- space group = Ibam, No. 72
- energy (eV/atom) = -6.1470
- ΔH_f (0 K) (meV per atom) = 81

Cell lengths 11.712, 11.712, 11.712 Å; angles 152.68, 131.76, 56.32 degrees
Fractional coordinates of all 18 atoms:
Dy: 0.250 0.250 0.000
Dy: 0.750 0.750 0.000
Y: 0.003 0.341 0.672
Y: 0.081 0.081 0.000
Y: 0.170 0.841 0.338
Y: 0.330 0.669 0.672
Y: 0.419 0.419 0.000
Y: 0.497 0.169 0.338
Y: 0.503 0.831 0.662
Y: 0.581 0.581 0.000
Y: 0.670 0.331 0.328
Y: 0.830 0.159 0.662
Y: 0.919 0.919 0.000
Y: 0.997 0.659 0.328
Sc: 0.167 0.497 0.663
Sc: 0.333 0.997 0.330
Sc: 0.667 0.003 0.670
Sc: 0.833 0.503 0.337

=====

Question: What is the formula in the third record?
Answer: La2HoAl12Fe3

=====

Question: Which of these has the lowest energy?
Answer: SnOs

=====

Question: Which formula does entry 1 have?
Answer: ZnNi2MoH

=====

Question: Which value of energy does entry 2 give?
Answer: -7.1241 eV/atom